First-principles (PBE) data for a geometry-optimized ScOsO6 structure, as listed in the Alexandria database.

Cell lengths 5.227, 5.227, 4.965 Å; angles 96.80, 96.80, 122.73 degrees
Atoms (fractional coordinates):
Sc: 0.000 0.000 0.000
Os: 0.500 0.500 0.500
O: 0.143 0.421 0.275
O: 0.260 0.260 0.733
O: 0.421 0.143 0.275
O: 0.579 0.857 0.725
O: 0.740 0.740 0.267
O: 0.857 0.579 0.725

Properties
* space group: C2/m, No. 12
* Fermi-level density of states: 3.54 states/eV/cell
* VASP energy: -57.89 eV per cell
* ΔE_f (raw): -1322.1 meV per atom